No. 1
Here is a geometry-optimized Y2ScHg structure from Alexandria. Energies are from GGA-PBE.

## Properties
**DFT total energy**: -5.062 eV/atom
**Theoretical density**: 6.70 g/cm3

The structure in extended XYZ format:
```
4
Lattice="4.7524 0.0000 0.0000 0.0000 4.7512 0.0000 0.0000 0.0000 4.6492" Properties=species:S:1:pos:R:3 pbc="T T T"
Y 2.3762 2.3756 0.0000
Y 0.0000 0.0000 0.0000
Sc 0.0000 2.3756 2.3246
Hg 2.3762 0.0000 2.3246
```



No. 2
Here is a geometry-optimized ZrTi2Fe3 structure from Alexandria. Energies are from GGA-PBE.

## Properties
**DFT total energy**: -8.585 eV/atom
**Theoretical density**: 7.07 g/cm3

The structure in extended XYZ format:
```
6
Lattice="-2.1103 -0.1460 -2.1464 1.9355 -1.4416 -1.8048 -2.8588 -8.0423 3.3579" Properties=species:S:1:pos:R:3 pbc="T T T"
Fe 0.0000 0.0000 0.0000
Fe -1.9568 -5.5048 2.2984
Fe -0.9020 -2.5375 1.0595
Zr -1.5168 -4.8150 -0.2967
Ti -0.5451 -2.0814 -1.4380
Ti -2.4885 -7.5485 0.8446
```



No. 3
Here is a geometry-optimized Ba2Cl3F6 structure from Alexandria. Energies are from GGA-PBE.

## Properties
**DFT total energy**: -3.978 eV/atom
**Theoretical density**: 2.78 g/cm3
**Formation energy without anion corrections**: -2.104 eV per atom

The structure in extended XYZ format:
```
22
Lattice="-3.6232 7.0356 -0.9628 -5.6963 1.6197 4.2578 5.7459 6.3624 8.1052" Properties=species:S:1:pos:R:3 pbc="T T T"
F -6.3559 10.6570 6.5648
F 2.9445 9.0627 6.9106
F -0.6146 4.1410 4.9086
F -2.9348 10.8853 6.4809
F 2.8067 4.3834 4.8415
F -0.4205 7.8357 5.6651
F -3.1393 7.1819 5.7193
F 1.1474 7.6647 11.3625
F -0.0422 10.4964 8.8966
F -3.5371 4.4968 2.5239
F -6.5208 5.9732 4.4961
F -4.7692 7.3300 0.0127
Cl -2.0648 4.3093 3.7015
Cl -2.7756 8.1466 1.2537
Cl -4.8430 6.5995 5.1266
Cl -1.5008 10.7000 7.7036
Cl 1.2747 8.4268 6.2690
Cl -0.8192 6.8625 10.1507
Ba -2.2528 9.3598 4.2587
Ba -1.3007 5.6616 7.1310
Ba 2.3423 11.5355 7.9915
Ba -5.9343 3.4851 3.4334
```



No. 4
Here is a geometry-optimized Ba2Cd5Hg4 structure from Alexandria. Energies are from GGA-PBE.

## Properties
**DFT total energy**: -1.142 eV/atom
**Theoretical density**: 8.46 g/cm3
**Polymorph energy (0 for the lowest one)**: 0 meV per atom

The structure in extended XYZ format:
```
11
Lattice="-4.9491 1.9428 -3.6008 -3.1674 -3.9613 -3.5095 -8.4056 -0.7064 5.4461" Properties=species:S:1:pos:R:3 pbc="T T T"
Cd -2.4746 0.9714 -1.8004
Cd -4.0583 -1.0093 -3.5552
Cd -9.4983 -0.8768 -1.7323
Cd -7.0238 -1.8482 0.0681
Cd -1.5837 -1.9806 -1.7548
Hg -4.2506 -0.9691 -0.4063
Hg -6.9973 -1.9353 -2.8781
Hg -12.2715 -1.7559 -1.2579
Hg -9.5248 -0.7897 1.2139
Ba -6.4547 1.5169 -1.7613
Ba -6.9000 -0.2805 3.6066
```



No. 5
Here is a geometry-optimized ZnCr4In structure from Alexandria. Energies are from GGA-PBE.

## Properties
**DFT total energy**: -6.670 eV/atom
**Theoretical density**: 7.74 g/cm3

The structure in extended XYZ format:
```
6
Lattice="0.0000 3.4666 3.4666 3.4666 0.0000 3.4666 3.4666 3.4666 0.0000" Properties=species:S:1:pos:R:3 pbc="T T T"
Cr 4.3477 2.5856 4.3477
Cr 2.5856 4.3477 4.3477
Cr 4.3477 4.3477 2.5856
Cr 2.5856 2.5856 2.5856
Zn 0.0000 0.0000 0.0000
In 5.1999 5.1999 5.1999
```



No. 6
Here is a geometry-optimized Sm6C2SeCl3 structure from Alexandria. Energies are from GGA-PBE.

## Properties
**DFT total energy**: -5.871 eV/atom
**Theoretical density**: 6.75 g/cm3
**Formation energy without anion corrections**: -1.222 eV per atom

The structure in extended XYZ format:
```
12
Lattice="6.7517 -0.0025 -0.0009 -3.3764 5.8468 -0.0009 -1.1267 -1.9508 6.9337" Properties=species:S:1:pos:R:3 pbc="T T T"
Sm 2.4565 -0.0009 1.3646
Sm 3.4770 1.7662 5.5673
Sm 0.1004 0.1738 5.5664
Sm -1.2284 2.1273 1.3646
Sm 2.1482 3.7196 1.3656
Sm -0.2079 3.8943 5.5673
Cl 4.5186 -0.0136 3.4660
Cl 1.1243 1.9467 3.4660
Cl -2.2700 3.9071 3.4660
C 0.0014 3.8960 -0.0009
C 3.3739 1.9483 -0.0009
Se 0.0000 0.0000 0.0000
```



No. 7
Here is a geometry-optimized Eu2TlBr structure from Alexandria. Energies are from GGA-PBE.

## Properties
**DFT total energy**: -7.015 eV/atom
**Theoretical density**: 7.90 g/cm3
**Polymorph energy (0 for the lowest one)**: 23 meV per atom
**Formation energy without anion corrections**: -0.868 eV per atom

The structure in extended XYZ format:
```
4
Lattice="-0.4547 -1.8758 3.2317 -1.0849 -3.0490 -1.9224 8.2936 -2.6991 -0.3996" Properties=species:S:1:pos:R:3 pbc="T T T"
Tl 3.3770 -3.8119 0.4548
Eu 2.1187 -0.6895 -0.1021
Eu 6.1748 -2.0095 -0.2975
Br -0.7698 -2.4624 0.6547
```



No. 8
Here is a geometry-optimized NiP3 structure from Alexandria. Energies are from GGA-PBE.

## Properties
**DFT total energy**: -4.611 eV/atom
**Theoretical density**: 2.92 g/cm3
**Polymorph energy (0 for the lowest one)**: 1193 meV per atom

The structure in extended XYZ format:
```
4
Lattice="4.4179 0.0000 0.0000 0.0000 4.4179 0.0000 0.0000 0.0000 4.4179" Properties=species:S:1:pos:R:3 pbc="T T T"
P 0.0000 0.0000 2.2089
P 0.0000 2.2089 0.0000
P 2.2089 0.0000 0.0000
Ni 0.0000 0.0000 0.0000
```